Entry 1:
Computed, not measured: a relaxed La2FeMo crystal at the PBE level of DFT.

Output
magnetic moment = 2.44 μB per formula unit
energy relative to the elements = 0.61 eV/atom
E_tot = -6.68 eV per atom

a b c (Å): 4.9567 4.9567 4.9567
angles (deg): 60.00 60.00 60.00
Last column: nearest neighbours and their distance in Å.
Atoms (fractional coordinates):
La 0.0000 0.0000 0.0000  4 La 3.04, 4 Mo 3.04
La 0.2500 0.2500 0.2500  4 La 3.04, 4 Fe 3.04
Fe 0.5000 0.5000 0.5000  4 La 3.04, 4 Mo 3.04
Mo 0.7500 0.7500 0.7500  4 La 3.04, 4 Fe 3.04

Entry 2:
Computed, not measured: a relaxed ZrNb2Co2 crystal at the PBE level of DFT.

Output
magnetic moment = 0.63 μB per formula unit
energy relative to the elements = 0.04 eV/atom
E_tot = -8.54 eV per atom

a b c (Å): 7.5323 7.5323 2.8191
angles (deg): 90.00 90.00 90.00
Last column: nearest neighbours and their distance in Å.
Atoms (fractional coordinates):
Co 0.6425 0.8575 0.5000  6 Nb 2.61-2.63, 2 Co 2.82
Co 0.3575 0.1425 0.5000  6 Nb 2.61-2.63, 2 Co 2.82
Co 0.1425 0.6425 0.5000  6 Nb 2.61-2.63, 2 Co 2.82
Co 0.8575 0.3575 0.5000  6 Nb 2.61-2.63, 2 Co 2.82
Nb 0.1515 0.3485 0.0000  6 Co 2.61-2.63, 2 Nb 2.82, 2 Zr 2.86
Nb 0.3485 0.8485 0.0000  6 Co 2.61-2.63, 2 Nb 2.82, 2 Zr 2.86
Nb 0.8485 0.6515 0.0000  6 Co 2.61-2.63, 2 Nb 2.82, 2 Zr 2.86
Nb 0.6515 0.1515 0.0000  6 Co 2.61-2.63, 2 Nb 2.82, 2 Zr 2.86
Zr 0.5000 0.5000 0.0000  2 Zr 2.82, 4 Nb 2.86
Zr 0.0000 0.0000 0.0000  2 Zr 2.82, 4 Nb 2.86

Entry 3:
Computed, not measured: a relaxed PtPbIN2 crystal at the PBE level of DFT.

Output
magnetic moment = 2.66 μB per formula unit
E_form (uncorrected) = 1.90 eV per atom
E_tot = -3.69 eV per atom

a b c (Å): 4.2562 4.2562 6.6898
angles (deg): 90.00 90.00 90.00
Last column: nearest neighbours and their distance in Å.
Atoms (fractional coordinates):
N 0.5000 0.0000 0.0000  2 Pb 2.13
N 0.0000 0.5000 0.0000  2 Pb 2.13
Pb 0.0000 0.0000 0.0000  4 N 2.13
Pt 0.5000 0.5000 0.5000  4 I 3.01
I 0.0000 0.0000 0.5000  4 Pt 3.01, 2 Pb 3.34